[1]
HfTi2IrC: optimized geometry, GGA-PBE.

The structure in CIF format:
```
data_HfTi2IrC
_chemical_formula_sum 'Hf1 Ti2 Ir1 C1'
_cell_length_a 4.121
_cell_length_b 4.121
_cell_length_c 4.463
_cell_angle_alpha 90.00
_cell_angle_beta 90.00
_cell_angle_gamma 90.00
_symmetry_space_group_name_H-M 'P 4/m m m'
_symmetry_Int_Tables_number 123
_symmetry_space_group_name_Hall '-P 4 2'
loop_
_atom_site_label
_atom_site_type_symbol
_atom_site_fract_x
_atom_site_fract_y
_atom_site_fract_z
_atom_site_occupancy
Hf1 Hf 0.000 0.000 0.000 1
Ti1 Ti 0.000 0.500 0.500 1
Ir1 Ir 0.500 0.500 0.000 1
C1 C 0.000 0.000 0.500 1
```

Values from the calculation:
- Density of states at the Fermi level: 1.17 states/eV per atom
- ρ: 10.5 g/cm3
- Calculated formation energy: -615.2 meV per atom
- E: -9.381 eV per atom



[2]
KHfC3: optimized geometry, GGA-PBE.

The structure in CIF format:
```
data_KHfC3
_chemical_formula_sum 'K1 Hf1 C3'
_cell_length_a 4.070
_cell_length_b 4.070
_cell_length_c 4.070
_cell_angle_alpha 90.00
_cell_angle_beta 90.00
_cell_angle_gamma 90.00
_symmetry_space_group_name_H-M 'P m -3 m'
_symmetry_Int_Tables_number 221
_symmetry_space_group_name_Hall '-P 4 2 3'
loop_
_atom_site_label
_atom_site_type_symbol
_atom_site_fract_x
_atom_site_fract_y
_atom_site_fract_z
_atom_site_occupancy
K1 K 0.000 0.000 0.000 1
Hf1 Hf 0.500 0.500 0.500 1
C1 C 0.000 0.000 0.500 1
```

Values from the calculation:
- Density of states at the Fermi level: 0.38 states/eV per atom
- ρ: 6.2 g/cm3
- Calculated formation energy: 3483.8 meV per atom
- E: -4.261 eV per atom



[3]
KHf2C: optimized geometry, GGA-PBE.

The structure in CIF format:
```
data_KHf2C
_chemical_formula_sum 'K4 Hf8 C4'
_cell_length_a 6.935
_cell_length_b 6.935
_cell_length_c 9.823
_cell_angle_alpha 90.00
_cell_angle_beta 90.00
_cell_angle_gamma 90.00
_symmetry_space_group_name_H-M 'I 41/a m d'
_symmetry_Int_Tables_number 141
loop_
_symmetry_equiv_pos_as_xyz
'x,y,z'
'-x,-y,-z'
'-y+1/4,x+3/4,z+1/4'
'y+1/4,-x+3/4,-z+1/4'
'-x+1/2,-y,z+1/2'
'x+1/2,y,-z+1/2'
'y+1/4,-x+1/4,z+3/4'
'-y+1/4,x+1/4,-z+3/4'
'x,-y,-z'
'-x,y,z'
'-y+1/4,-x+1/4,-z+3/4'
'y+1/4,x+1/4,z+3/4'
'-x+1/2,y,-z+1/2'
'x+1/2,-y,z+1/2'
'y+1/4,x+3/4,-z+1/4'
'-y+1/4,-x+3/4,z+1/4'
'x+1/2,y+1/2,z+1/2'
'-x+1/2,-y+1/2,-z+1/2'
'-y+3/4,x+1/4,z+3/4'
'y+3/4,-x+1/4,-z+3/4'
'-x,-y+1/2,z'
'x,y+1/2,-z'
'y+3/4,-x+3/4,z+1/4'
'-y+3/4,x+3/4,-z+1/4'
'x+1/2,-y+1/2,-z+1/2'
'-x+1/2,y+1/2,z+1/2'
'-y+3/4,-x+3/4,-z+1/4'
'y+3/4,x+3/4,z+1/4'
'-x,y+1/2,-z'
'x,-y+1/2,z'
'y+3/4,x+1/4,-z+3/4'
'-y+3/4,-x+1/4,z+3/4'
loop_
_atom_site_label
_atom_site_type_symbol
_atom_site_fract_x
_atom_site_fract_y
_atom_site_fract_z
_atom_site_occupancy
K1 K 0.000 0.250 0.375 1
Hf1 Hf 0.000 0.000 0.000 1
C1 C 0.000 0.250 0.875 1
```

Values from the calculation:
- Density of states at the Fermi level: 0.88 states/eV per atom
- ρ: 5.7 g/cm3
- Calculated formation energy: 626.7 meV per atom
- E: -6.930 eV per atom